This record from Alexandria via LeMat-Bulk describes crystalline ZnNi2Br at its relaxed geometry. The functional is GGA-PBE.

a b c (Å): 6.187 6.187 6.187
angles (deg): 90.00 90.00 90.00
Space group F-43m (No. 216)
Symmetry-distinct sites (fractional):
Zn1 0.000 0.000 0.000 [4 per cell]
Ni1 0.000 0.000 0.500 [4 per cell]
Ni2 0.250 0.250 0.250 [4 per cell]
Br1 0.250 0.250 0.750 [4 per cell]

Properties
Formation energy (no corrections): 584 meV per atom

This record from Alexandria via LeMat-Bulk describes crystalline InReMoIr2 at its relaxed geometry. The functional is GGA-PBE.

a b c (Å): 4.679 4.679 4.811
angles (deg): 90.00 90.00 90.00
Space group P4/mmm (No. 123)
Symmetry-distinct sites (fractional):
In1 0.000 0.000 0.000 [1 per cell]
Re1 0.500 0.500 0.500 [1 per cell]
Mo1 0.000 0.000 0.500 [1 per cell]
Ir1 0.000 0.500 0.000 [2 per cell]

Properties
Energy of formation from the pure elements: 2.7177 eV per atom

This record from Alexandria via LeMat-Bulk describes crystalline FeAs2Pt at its relaxed geometry. The functional is GGA-PBE.

a b c (Å): 4.351 4.351 3.291
angles (deg): 90.00 90.00 90.00
Space group P4/mmm (No. 123)
Symmetry-distinct sites (fractional):
Fe1 0.000 0.000 0.000 [1 per cell]
As1 0.000 0.500 0.500 [2 per cell]
Pt1 0.500 0.500 0.000 [1 per cell]

Properties
Energy of formation from the pure elements: 0.0632 eV per atom

no.,V (Å³/atom),energy (eV per atom)
1,14.8,-3.04
2,21.1,-6.03
3,15.6,-5.89